NaCaPu2S4, relaxed, DFT PBE-GGA; raw formation energy = -1691 meV per atom; SG = No. 10; E = -7.752 eV/atom
1.0
-0.7740 2.2064 3.2879
5.4362 -2.9567 3.2639
5.8028 3.7675 -1.1622
Na Ca Pu S
1 1 2 4
Cartesian
8.1338 3.3923 2.1138
5.6195 0.4054 1.0509
5.8028 3.7674 -1.1622
2.5144 2.9869 1.0629
8.4386 0.5300 1.6309
2.0264 2.4872 3.7588
5.1752 -0.1935 3.8236
5.2897 3.2107 1.5661


NaCa2PuSe4, relaxed, DFT PBE-GGA; raw formation energy = -1672 meV per atom; SG = No. 10; E = -5.871 eV/atom
1.0
4.2307 0.0000 0.0000
0.0000 7.2621 0.1766
0.0000 -2.5108 6.8093
Na Ca Pu Se
1 2 1 4
Cartesian
2.1154 3.6310 0.0883
2.1154 -1.2554 3.4046
0.0000 2.3756 3.4929
0.0000 0.0000 0.0000
2.1154 1.1496 1.7110
2.1154 3.6017 5.2748
0.0000 -0.1298 5.1306
0.0000 4.8811 1.8552


What is the raw formation energy in the second record? -1672 meV per atom


Repeat the first record exactly.
NaCaPu2S4, relaxed, DFT PBE-GGA; raw formation energy = -1691 meV per atom; SG = No. 10; E = -7.752 eV/atom
1.0
-0.7740 2.2064 3.2879
5.4362 -2.9567 3.2639
5.8028 3.7675 -1.1622
Na Ca Pu S
1 1 2 4
Cartesian
8.1338 3.3923 2.1138
5.6195 0.4054 1.0509
5.8028 3.7674 -1.1622
2.5144 2.9869 1.0629
8.4386 0.5300 1.6309
2.0264 2.4872 3.7588
5.1752 -0.1935 3.8236
5.2897 3.2107 1.5661